Entry 1:
Density functional theory data (GGA-PBE) for a geometry-optimized Rb3InSb2O8 structure.

```
Rb3InSb2O8
1.0
6.1329 0.0000 0.0000
-3.0664 5.3112 0.0000
0.0000 0.0000 8.1001
Rb In Sb O
3 1 2 8
direct
0.0000 0.0000 0.0000 Rb
0.3333 0.6667 0.6939 Rb
0.6667 0.3333 0.3061 Rb
0.0000 0.0000 0.5000 In
0.3333 0.6667 0.2528 Sb
0.6667 0.3333 0.7472 Sb
0.1643 0.3286 0.3360 O
0.1643 0.8357 0.3360 O
0.3286 0.1643 0.6640 O
0.3333 0.6667 0.0226 O
0.6667 0.3333 0.9774 O
0.6714 0.8357 0.3360 O
0.8357 0.1643 0.6640 O
0.8357 0.6714 0.6640 O
```

Computed properties:
DFT total energy (eV/atom): -5.2731



Entry 2:
Density functional theory data (GGA-PBE) for a geometry-optimized Pm2DyAg3 structure.

```
Pm2DyAg3
1.0
3.6765 0.0000 0.0000
0.0000 3.6765 0.0000
0.0000 0.0000 11.2164
Pm Dy Ag
2 1 3
direct
0.0000 0.0000 0.1700 Pm
0.0000 0.0000 0.8300 Pm
0.0000 0.0000 0.5000 Dy
0.5000 0.5000 0.0000 Ag
0.5000 0.5000 0.3437 Ag
0.5000 0.5000 0.6563 Ag
```

Computed properties:
Formation energy from the elements (eV/atom): -0.2898
DFT total energy (eV/atom): -4.0660



Entry 3:
Density functional theory data (GGA-PBE) for a geometry-optimized Er4PuGa15 structure.

```
Er4PuGa15
1.0
4.2603 0.0000 0.0000
0.0000 4.2603 0.0000
0.0000 0.0000 21.2133
Er Pu Ga
4 1 15
direct
0.0000 0.0000 0.0999 Er
0.0000 0.0000 0.2991 Er
0.0000 0.0000 0.7009 Er
0.0000 0.0000 0.9001 Er
0.0000 0.0000 0.5000 Pu
0.0000 0.5000 0.0000 Ga
0.0000 0.5000 0.1997 Ga
0.0000 0.5000 0.4001 Ga
0.0000 0.5000 0.5999 Ga
0.0000 0.5000 0.8003 Ga
0.5000 0.0000 0.0000 Ga
0.5000 0.0000 0.1997 Ga
0.5000 0.0000 0.4001 Ga
0.5000 0.0000 0.5999 Ga
0.5000 0.0000 0.8003 Ga
0.5000 0.5000 0.0993 Ga
0.5000 0.5000 0.2997 Ga
0.5000 0.5000 0.5000 Ga
0.5000 0.5000 0.7004 Ga
0.5000 0.5000 0.9007 Ga
```

Computed properties:
Formation energy from the elements (eV/atom): -0.4964
DFT total energy (eV/atom): -4.3957



Entry 4:
Density functional theory data (GGA-PBE) for a geometry-optimized KTiTe structure.

```
KTiTe
1.0
4.1811 0.0000 0.0000
0.0000 4.1811 0.0000
0.0000 0.0000 11.2584
K Ti Te
2 2 2
direct
0.2500 0.2500 0.1799 K
0.7500 0.7500 0.8201 K
0.2500 0.7500 0.5000 Ti
0.7500 0.2500 0.5000 Ti
0.2500 0.2500 0.6661 Te
0.7500 0.7500 0.3339 Te
```

Computed properties:
DFT total energy (eV/atom): -4.6038



Entry 5:
Density functional theory data (GGA-PBE) for a geometry-optimized BiPt2Au structure.

```
BiPt2Au
1.0
-3.7785 3.7785 2.8423
3.7785 -3.7785 2.8423
3.7785 3.7785 -2.8423
Bi Pt Au
2 4 2
direct
0.0000 0.0000 0.0000 Bi
0.7500 0.2500 0.5000 Bi
0.1269 0.6250 0.0019 Pt
0.3750 0.3769 0.5019 Pt
0.6231 0.1250 0.9981 Pt
0.8750 0.8731 0.4981 Pt
0.2500 0.7500 0.5000 Au
0.5000 0.5000 0.0000 Au
```

Computed properties:
Formation energy from the elements (eV/atom): 0.0816
DFT total energy (eV/atom): -4.7283



Entry 6:
Density functional theory data (GGA-PBE) for a geometry-optimized Ba2Sb2O7 structure.

```
Ba2Sb2O7
1.0
3.9858 -6.4387 0.0000
3.9858 6.4387 0.0000
0.0000 0.0000 3.9074
Ba Sb O
2 2 7
direct
0.2067 0.7933 0.0000 Ba
0.7933 0.2067 0.0000 Ba
0.2578 0.2578 0.5000 Sb
0.7422 0.7422 0.5000 Sb
0.0660 0.3595 0.5000 O
0.1882 0.1882 0.0000 O
0.3595 0.0660 0.5000 O
0.5000 0.5000 0.5000 O
0.6405 0.9340 0.5000 O
0.8118 0.8118 0.0000 O
0.9340 0.6405 0.5000 O
```

Computed properties:
DFT total energy (eV/atom): -6.0868
Relative energy among the computed polymorphs (meV per atom): 185.7



Entry 7:
Density functional theory data (GGA-PBE) for a geometry-optimized Zn2Ni2Sb structure.

```
Zn2Ni2Sb
1.0
7.2652 0.0000 0.0000
0.0000 7.2652 0.0000
0.0000 0.0000 2.8367
Zn Ni Sb
4 4 2
direct
0.1239 0.3761 0.0000 Zn
0.3761 0.8761 0.0000 Zn
0.6239 0.1239 0.0000 Zn
0.8761 0.6239 0.0000 Zn
0.1692 0.6692 0.5000 Ni
0.3308 0.1692 0.5000 Ni
0.6692 0.8308 0.5000 Ni
0.8308 0.3308 0.5000 Ni
0.0000 0.0000 0.0000 Sb
0.5000 0.5000 0.0000 Sb
```

Computed properties:
DFT total energy (eV/atom): -3.6224
Relative energy among the computed polymorphs (meV per atom): 90.4



Entry 8:
Density functional theory data (GGA-PBE) for a geometry-optimized Tl2TcCl5F structure.

```
Tl2TcCl5F
1.0
-3.5604 3.5604 4.8744
3.5604 -3.5604 4.8744
3.5604 3.5604 -4.8744
Tl Tc Cl F
2 1 5 1
direct
0.0000 0.5000 0.5000 Tl
0.5000 0.0000 0.5000 Tl
0.2541 0.2541 0.0000 Tc
0.0124 0.0124 0.0000 Cl
0.0199 0.0199 0.5280 Cl
0.0199 0.4919 0.0000 Cl
0.4919 0.0199 0.0000 Cl
0.4919 0.4919 0.4720 Cl
0.4554 0.4554 0.0000 F
```

Computed properties:
DFT total energy (eV/atom): -4.0038



Q: Look up the DFT total energy of the seventh one.
A: -3.6224 eV/atom



Please write out number 3 again, unchanged.
Density functional theory data (GGA-PBE) for a geometry-optimized Er4PuGa15 structure.

```
Er4PuGa15
1.0
4.2603 0.0000 0.0000
0.0000 4.2603 0.0000
0.0000 0.0000 21.2133
Er Pu Ga
4 1 15
direct
0.0000 0.0000 0.0999 Er
0.0000 0.0000 0.2991 Er
0.0000 0.0000 0.7009 Er
0.0000 0.0000 0.9001 Er
0.0000 0.0000 0.5000 Pu
0.0000 0.5000 0.0000 Ga
0.0000 0.5000 0.1997 Ga
0.0000 0.5000 0.4001 Ga
0.0000 0.5000 0.5999 Ga
0.0000 0.5000 0.8003 Ga
0.5000 0.0000 0.0000 Ga
0.5000 0.0000 0.1997 Ga
0.5000 0.0000 0.4001 Ga
0.5000 0.0000 0.5999 Ga
0.5000 0.0000 0.8003 Ga
0.5000 0.5000 0.0993 Ga
0.5000 0.5000 0.2997 Ga
0.5000 0.5000 0.5000 Ga
0.5000 0.5000 0.7004 Ga
0.5000 0.5000 0.9007 Ga
```

Computed properties:
Formation energy from the elements (eV/atom): -0.4964
DFT total energy (eV/atom): -4.3957



Q: What is the DFT total energy in the fifth record?
A: -4.7283 eV/atom